Density functional theory data (GGA-PBE) for a geometry-optimized LiHoPdAu structure.

Cell: 3.4079 3.4079 6.4048 Å, 90.00 90.00 90.00°
Atoms (fractional coordinates):
Li  0.0000  0.0000  0.3595
Ho  0.0000  0.0000  0.8444
Pd  0.5000  0.5000  0.5850
Au  0.5000  0.5000  0.1391

Computed properties:
The calculated formation energy comes out at -0.724 eV/atom. As for the symmetry: P4mm, No. 99. The energy above the most stable polymorph in this dataset comes out at 0 meV per atom.

=====

Density functional theory data (GGA-PBE) for a geometry-optimized Li2PmAg structure.

Cell: 3.2458 3.2458 10.0839 Å, 80.74 80.74 60.00°
Atoms (fractional coordinates):
Li  0.0696  0.0696  0.7912
Li  0.2639  0.2639  0.2084
Pm  0.4995  0.4995  0.5014
Ag  0.6670  0.6670  0.9990

Computed properties:
The calculated formation energy comes out at 0.063 eV/atom. As for the symmetry: R3m, No. 160. The energy above the most stable polymorph in this dataset comes out at 154 meV per atom.

=====

Density functional theory data (GGA-PBE) for a geometry-optimized RbSiAgH6 structure.

Cell: 5.0270 5.0267 5.6480 Å, 90.02 89.97 59.94°
Atoms (fractional coordinates):
Rb  0.0000  0.0001  0.0000
Si  0.3333  0.3334  0.4999
Ag  0.6664  0.6664  0.5003
H  0.0670  0.3386  0.3336
H  0.3386  0.0670  0.6664
H  0.5946  0.3384  0.6663
H  0.0670  0.5946  0.6665
H  0.3382  0.5947  0.3336
H  0.5946  0.0670  0.3334

Computed properties:
As for the symmetry: P312, No. 149. Its total energy is -28.4 eV per cell.

=====

Density functional theory data (GGA-PBE) for a geometry-optimized TbScBi2 structure.

Cell: 4.3770 6.2236 8.7509 Å, 90.00 90.00 90.00°
Atoms (fractional coordinates):
Tb  0.0000  0.5000  0.8726
Tb  0.5000  0.0000  0.1274
Sc  0.5000  0.0000  0.6250
Sc  0.0000  0.5000  0.3750
Bi  0.0000  0.0000  0.8647
Bi  0.0000  0.0000  0.3875
Bi  0.5000  0.5000  0.6125
Bi  0.5000  0.5000  0.1353

Computed properties:
The calculated formation energy comes out at -0.760 eV/atom. As for the symmetry: Pmmn, No. 59. The energy above the most stable polymorph in this dataset comes out at 5 meV per atom.

=====

Density functional theory data (GGA-PBE) for a geometry-optimized NiAg2P structure.

Cell: 4.8628 4.8628 2.8773 Å, 90.00 90.00 114.28°
Atoms (fractional coordinates):
Ni  0.0000  0.0000  0.5000
Ag  0.5000  0.0000  0.0000
Ag  0.0000  0.5000  0.0000
P  0.5000  0.5000  0.5000

Computed properties:
The calculated formation energy comes out at 0.359 eV/atom. As for the symmetry: Cmmm, No. 65.

=====

Density functional theory data (GGA-PBE) for a geometry-optimized KTc2Te structure.

Cell: 5.6052 5.6052 5.6052 Å, 137.15 137.15 62.21°
Atoms (fractional coordinates):
K  0.7500  0.2500  0.5000
Tc  0.0000  0.0000  0.0000
Tc  0.5000  0.5000  0.0000
Te  0.2500  0.7500  0.5000

Computed properties:
The uncorrected formation energy comes out at 5.09 eV/f.u. As for the symmetry: I4/mmm, No. 139.

=====

Density functional theory data (GGA-PBE) for a geometry-optimized Li7Zn2Cu structure.

Cell: 4.4240 4.4240 9.5920 Å, 76.67 76.67 60.00°
Atoms (fractional coordinates):
Li  0.7049  0.7049  0.8854
Li  0.5926  0.5926  0.2223
Li  0.0000  0.0000  0.0000
Li  0.2951  0.2951  0.1146
Li  0.1954  0.1954  0.4139
Li  0.8046  0.8046  0.5861
Li  0.4074  0.4074  0.7777
Zn  0.1019  0.1019  0.6943
Zn  0.8981  0.8981  0.3057
Cu  0.5000  0.5000  0.5000

Computed properties:
The calculated formation energy comes out at -0.056 eV/atom. As for the symmetry: R-3m, No. 166.

=====

Density functional theory data (GGA-PBE) for a geometry-optimized MgAgS2Cl structure.

Cell: 4.8699 4.8699 4.9020 Å, 90.00 90.00 90.00°
Each line ends with the local moment (μB).
Atoms (fractional coordinates):
S  0.0000  0.5000  0.0000  0.42
S  0.5000  0.0000  0.0000  0.42
Mg  0.0000  0.0000  0.0000  0.00
Ag  0.5000  0.5000  0.5000  0.03
Cl  0.0000  0.0000  0.5000  0.13

Computed properties:
The uncorrected formation energy comes out at -0.37 eV/f.u. As for the symmetry: P4/mmm, No. 123. The energy above the most stable polymorph in this dataset comes out at 0 meV per atom.

=====

Density functional theory data (GGA-PBE) for a geometry-optimized Rb4Ac3PuO8 structure.

Cell: 7.6524 7.9754 7.6528 Å, 118.67 120.00 90.00°
Each line ends with the local moment (μB).
Atoms (fractional coordinates):
Rb  0.5000  0.0000  0.0000  0.00
Rb  0.5000  0.0000  0.5000  0.00
Rb  0.0000  0.0000  0.0000  0.00
Rb  0.0000  0.0000  0.5000  0.00
Ac  0.5000  0.5000  0.0000  0.01
Ac  0.5000  0.5000  0.5000  0.01
Ac  0.0000  0.5000  0.5000  0.01
Pu  0.0000  0.5000  0.0000  4.90
O  0.2194  0.6811  0.9617  -0.03
O  0.2194  0.6811  0.4388  -0.03
O  0.2714  0.3142  0.5428  0.00
O  0.7423  0.6811  0.9617  -0.03
O  0.2577  0.3189  0.0383  -0.03
O  0.7286  0.6858  0.4572  0.00
O  0.7806  0.3189  0.5612  -0.03
O  0.7806  0.3189  0.0383  -0.03

Computed properties:
The uncorrected formation energy comes out at -39.17 eV/f.u. As for the symmetry: R-3m, No. 166.

=====

Density functional theory data (GGA-PBE) for a geometry-optimized K2DySe2O6 structure.

Cell: 6.2227 5.6014 7.2127 Å, 107.95 90.00 123.74°
Atoms (fractional coordinates):
K  0.6992  0.3984  0.1430
K  0.3008  0.6016  0.8570
Dy  0.5000  0.0000  0.5000
Se  0.9247  0.8494  0.7618
Se  0.0753  0.1506  0.2382
O  0.7581  0.5162  0.5491
O  0.2299  0.9543  0.2540
O  0.2755  0.0457  0.7460
O  0.7701  0.0457  0.7460
O  0.7245  0.9543  0.2540
O  0.2419  0.4838  0.4509

Computed properties:
The uncorrected formation energy comes out at -17.44 eV/f.u. As for the symmetry: C2/m, No. 12.

=====

Density functional theory data (GGA-PBE) for a geometry-optimized Ho2Cd2In structure.

Cell: 4.5181 7.5693 7.5693 Å, 90.00 90.00 90.00°
Atoms (fractional coordinates):
Ho  0.5000  0.1685  0.6685
Ho  0.5000  0.6685  0.8315
Ho  0.5000  0.8315  0.3315
Ho  0.5000  0.3315  0.1685
Cd  0.0000  0.3683  0.8683
Cd  0.0000  0.8683  0.6317
Cd  0.0000  0.6317  0.1317
Cd  0.0000  0.1317  0.3683
In  0.0000  0.0000  0.0000
In  0.0000  0.5000  0.5000

Computed properties:
The calculated formation energy comes out at -0.302 eV/atom. As for the symmetry: P4/mbm, No. 127.

=====

Density functional theory data (GGA-PBE) for a geometry-optimized Tm7Fe2Ag2 structure.

Cell: 3.6772 9.1842 9.1842 Å, 60.88 78.45 78.45°
Atoms (fractional coordinates):
Tm  0.8149  0.0850  0.2852
Tm  0.8509  0.4050  0.8932
Tm  0.5000  0.0268  0.9732
Tm  0.6299  0.4666  0.2735
Tm  0.3701  0.7265  0.5334
Tm  0.1851  0.7148  0.9150
Tm  0.1491  0.1068  0.5950
Fe  0.7412  0.8618  0.6557
Fe  0.2588  0.3443  0.1382
Ag  0.0000  0.7637  0.2363
Ag  0.5000  0.3524  0.6476

Computed properties:
The calculated formation energy comes out at -0.099 eV/atom. As for the symmetry: Imm2, No. 44.

=====

Density functional theory data (GGA-PBE) for a geometry-optimized HgBi2Ir2 structure.

Cell: 4.8163 4.8163 6.3415 Å, 67.68 67.68 90.00°
Atoms (fractional coordinates):
Ir  0.3854  0.3854  0.2292
Ir  0.6146  0.6146  0.7708
Bi  0.7500  0.2500  0.5000
Bi  0.2500  0.7500  0.5000
Hg  0.0000  0.0000  0.0000

Computed properties:
The calculated formation energy comes out at 0.472 eV/atom. As for the symmetry: I4/mmm, No. 139. The energy above the most stable polymorph in this dataset comes out at 133 meV per atom.

=====

Density functional theory data (GGA-PBE) for a geometry-optimized KMg2Te structure.

Cell: 8.4378 8.4378 8.4378 Å, 31.30 31.30 31.30°
Atoms (fractional coordinates):
K  0.7574  0.7574  0.7574
Mg  0.9792  0.9792  0.9792
Mg  0.2409  0.2409  0.2409
Te  0.5225  0.5225  0.5225

Computed properties:
The uncorrected formation energy comes out at -1.20 eV/f.u. As for the symmetry: R3m, No. 160.